9
Lattice="0.000 3.166 3.166 3.166 0.000 3.166 3.166 3.166 0.000" Properties=species:S:1:pos:R:3 comment="AlGaCoH6 (PBE, relaxed)" mass_density_g_cm3=4.2 total_energy_ev_per_cell=-27.822 pbc="T T T"
Al 1.583 1.583 1.583
Co 4.749 4.749 4.749
Ga 0.000 0.000 0.000
H 1.782 3.166 3.166
H 3.166 1.782 3.166
H 3.166 3.166 4.549
H 3.166 3.166 1.782
H 3.166 4.549 3.166
H 4.549 3.166 3.166